(1)
Here is ThAg2Pd after structural relaxation from Alexandria. Energies are from GGA-PBE.

Lattice parameters (Å, degrees): 4.217 8.192 5.399 90.00 112.98 90.00
Fractional positions:
Th (0.068, 0.250, 0.136)
Th (0.932, 0.750, 0.864)
Ag (0.364, 0.050, 0.726)
Ag (0.364, 0.450, 0.726)
Ag (0.636, 0.550, 0.274)
Ag (0.636, 0.950, 0.274)
Pd (0.223, 0.750, 0.449)
Pd (0.777, 0.250, 0.551)

Calculated values
E (eV/atom): -4.95
Symmetry: P2_1/m, No. 11

=====

(2)
Here is ThAg3Pd12 after structural relaxation from Alexandria. Energies are from GGA-PBE.

Lattice parameters (Å, degrees): 4.106 4.106 15.845 90.00 90.00 90.00
Fractional positions:
Th (0.000, 0.000, 0.000)
Ag (0.000, 0.000, 0.258)
Ag (0.000, 0.000, 0.500)
Ag (0.000, 0.000, 0.742)
Pd (0.000, 0.500, 0.132)
Pd (0.000, 0.500, 0.379)
Pd (0.000, 0.500, 0.621)
Pd (0.000, 0.500, 0.868)
Pd (0.500, 0.000, 0.132)
Pd (0.500, 0.000, 0.379)
Pd (0.500, 0.000, 0.621)
Pd (0.500, 0.000, 0.868)
Pd (0.500, 0.500, 0.000)
Pd (0.500, 0.500, 0.257)
Pd (0.500, 0.500, 0.500)
Pd (0.500, 0.500, 0.743)

Calculated values
E (eV/atom): -5.14
Symmetry: P4/mmm, No. 123